First-principles (PBE-GGA) data for a relaxed structure of Rb3Pu2VSe6, as listed in Alexandria via LeMat-Bulk.

Unit cell a=7.193 b=12.462 c=8.315 alpha=90.00 beta=106.82 gamma=90.00
Space group C2/m (No. 12)
Inequivalent atoms, fractional coordinates:
Rb (0.000, 0.000, 0.000)
Rb (0.000, 0.330, 0.000)
Pu (0.000, 0.166, 0.500)
V (0.000, 0.500, 0.500)
Se (0.219, 0.344, 0.688)
Se (0.249, 0.500, 0.310)

## Properties
- energy relative to the elements, uncorrected (eV/atom) = -1.232
- crystal system = monoclinic

***

First-principles (PBE-GGA) data for a relaxed structure of TbPmPu2N4, as listed in Alexandria via LeMat-Bulk.

Unit cell a=6.056 b=3.518 c=6.098 alpha=90.00 beta=109.57 gamma=90.00
Space group P2/m (No. 10)
Inequivalent atoms, fractional coordinates:
Tb (0.000, 0.000, 0.000)
Pm (0.000, 0.500, 0.500)
Pu (0.500, 0.000, 0.500)
Pu (0.500, 0.500, 0.000)
N (0.264, 0.500, 0.249)
N (0.269, 0.000, 0.762)

## Properties
- energy relative to the elements, uncorrected (eV/atom) = -1.407
- crystal system = monoclinic

***

First-principles (PBE-GGA) data for a relaxed structure of Ac2NpAgTe5, as listed in Alexandria via LeMat-Bulk.

Unit cell a=4.569 b=19.469 c=13.587 alpha=90.00 beta=90.00 gamma=90.00
Space group Cmc2_1 (No. 36)
Inequivalent atoms, fractional coordinates:
Ac (0.000, 0.113, 0.000)
Ac (0.000, 0.125, 0.621)
Np (0.000, 0.194, 0.322)
Ag (0.000, 0.434, 0.769)
Te (0.000, 0.044, 0.381)
Te (0.000, 0.290, 0.979)
Te (0.000, 0.305, 0.660)
Te (0.000, 0.357, 0.314)
Te (0.000, 0.499, 0.088)

## Properties
- energy relative to the elements, uncorrected (eV/atom) = -1.087
- crystal system = orthorhombic

***

First-principles (PBE-GGA) data for a relaxed structure of ZrMoRu, as listed in Alexandria via LeMat-Bulk.

Unit cell a=4.377 b=9.774 c=5.161 alpha=90.00 beta=90.00 gamma=90.00
Space group Cmcm (No. 63)
Inequivalent atoms, fractional coordinates:
Zr (0.000, 0.211, 0.250)
Mo (0.000, 0.500, 0.000)
Ru (0.000, 0.069, 0.750)

## Properties
- crystal system = orthorhombic
- energy relative to the elements (eV per formula unit) = -0.20
- energy above the lowest structure with this stoichiometry (eV per atom) = 0.148

***

First-principles (PBE-GGA) data for a relaxed structure of LiNi4H8Rh, as listed in Alexandria via LeMat-Bulk.

Unit cell a=5.1254 b=5.1254 c=13.3147 alpha=90.00 beta=90.00 gamma=120.00
Space group R3m (No. 160, hexagonal axes)
Inequivalent atoms, fractional coordinates:
Li (0.0000, 0.0000, 0.0000)
Ni (0.0000, 0.0000, 0.2719)
Ni (0.0020, 0.5010, 0.1397)
H (0.0000, 0.0000, 0.4010)
H (0.0000, 0.0000, 0.8624)
H (0.0464, 0.5232, 0.3978)
H (0.1712, 0.3424, 0.2160)
Rh (0.0000, 0.0000, 0.6394)

## Properties
- VASP energy (eV/cell) = -181.1
- crystal system = trigonal

***

First-principles (PBE-GGA) data for a relaxed structure of LiYAsSe2, as listed in Alexandria via LeMat-Bulk.

Unit cell a=4.877 b=4.877 c=4.420 alpha=90.00 beta=90.00 gamma=90.00
Space group P4/mmm (No. 123)
Inequivalent atoms, fractional coordinates:
Li (0.000, 0.000, 0.000)
Y (0.500, 0.500, 0.500)
As (0.000, 0.000, 0.500)
Se (0.000, 0.500, 0.000)

## Properties
- energy relative to the elements, uncorrected (eV/atom) = -0.517
- crystal system = tetragonal
- energy above the lowest structure with this stoichiometry (eV per atom) = 0.000

***

First-principles (PBE-GGA) data for a relaxed structure of Cd3SbPt12, as listed in Alexandria via LeMat-Bulk.

Unit cell a=4.041 b=4.041 c=16.271 alpha=90.00 beta=90.00 gamma=90.00
Space group P4/mmm (No. 123)
Inequivalent atoms, fractional coordinates:
Cd (0.000, 0.000, 0.000)
Cd (0.000, 0.000, 0.248)
Sb (0.000, 0.000, 0.500)
Pt (0.000, 0.500, 0.124)
Pt (0.000, 0.500, 0.374)
Pt (0.500, 0.500, 0.000)
Pt (0.500, 0.500, 0.250)
Pt (0.500, 0.500, 0.500)

## Properties
- energy relative to the elements, uncorrected (eV/atom) = -0.208
- crystal system = tetragonal

***

First-principles (PBE-GGA) data for a relaxed structure of LiZr2Br, as listed in Alexandria via LeMat-Bulk.

Unit cell a=3.323 b=3.323 c=7.227 alpha=90.00 beta=90.00 gamma=90.00
Space group P4/mmm (No. 123)
Inequivalent atoms, fractional coordinates:
Li (0.000, 0.000, 0.000)
Zr (0.500, 0.500, 0.227)
Br (0.000, 0.000, 0.500)

## Properties
- energy relative to the elements, uncorrected (eV/atom) = 0.082
- crystal system = tetragonal
- energy above the lowest structure with this stoichiometry (eV per atom) = 0.446

***

Total moment? In order: 12.000; 9.380; 4.003; 0.000; 0.000; 0.000; 0.000; 0.000 μB/f.u..
Density? In order: 5.91; 11.50; 7.90; 8.67; 5.80; 5.19; 17.50; 5.60 Mg/m³.